This record from Alexandria describes a relaxed Co2Pb2F crystal. The functional is GGA+U.

a = 3.3991 Å, b = 3.3991 Å, c = 8.4665 Å
α = 78.42°, β = 78.42°, γ = 90.00°
With the nearest neighbours (Å) after each atom.
Positions (direct):
Pb 0.3959 0.3959 0.2083  4 Co 2.91, 4 F 2.94
Pb 0.6041 0.6041 0.7917  4 Co 2.91, 4 F 2.94
Co 0.7500 0.2500 0.5000  4 Co 2.40
Co 0.2500 0.7500 0.5000  4 Co 2.40
F 0.0000 0.0000 0.0000  8 Pb 2.94

Summary:
DOS(E_F) (states/eV/atom): 0.41
Energy above the most stable polymorph in this dataset (meV/atom): 0
Total magnetization (Bohr magnetons per cell): 3.20
Space group: No. 139